(1)
A relaxed La2PrNd5Ho crystal. Source: Alexandria via LeMat-Bulk, functional PBE.

Cell and atoms, written as POSCAR:
```
La2PrNd5Ho
1.0
8.841 0.000 0.000
0.000 8.841 0.000
-4.421 -4.421 8.188
La Pr Nd Ho
4 2 10 2
Direct
0.119 0.381 0.000 La
0.619 0.119 0.000 La
0.381 0.881 0.000 La
0.881 0.619 0.000 La
0.250 0.250 0.500 Pr
0.750 0.750 0.500 Pr
0.925 0.425 0.284 Nd
0.641 0.141 0.716 Nd
0.075 0.575 0.716 Nd
0.141 0.075 0.716 Nd
0.575 0.641 0.716 Nd
0.859 0.925 0.284 Nd
0.425 0.359 0.284 Nd
0.359 0.859 0.284 Nd
0.500 0.500 0.000 Nd
0.000 0.000 0.000 Nd
0.250 0.750 0.500 Ho
0.750 0.250 0.500 Ho
```

Computed properties:
Space group ... I4/mcm (140)

(2)
A relaxed LaPr2Nd6Ho crystal. Source: Alexandria via LeMat-Bulk, functional PBE.

Cell and atoms, written as POSCAR:
```
LaPr2Nd6Ho
1.0
9.462 -2.144 -2.225
0.813 8.755 -2.063
0.813 -2.386 8.672
La Pr Nd Ho
2 4 12 2
Direct
0.250 0.981 0.019 La
0.750 0.019 0.981 La
0.456 0.804 0.704 Pr
0.044 0.296 0.196 Pr
0.544 0.196 0.296 Pr
0.956 0.704 0.804 Pr
0.055 0.120 0.745 Nd
0.445 0.255 0.880 Nd
0.945 0.880 0.255 Nd
0.555 0.745 0.120 Nd
0.312 0.985 0.431 Nd
0.188 0.569 0.015 Nd
0.688 0.015 0.569 Nd
0.812 0.431 0.985 Nd
0.118 0.703 0.494 Nd
0.382 0.506 0.297 Nd
0.882 0.297 0.506 Nd
0.618 0.494 0.703 Nd
0.250 0.408 0.592 Ho
0.750 0.592 0.408 Ho
```

Computed properties:
Space group ... C2/c (15)

(3)
A relaxed LaPrNdHo crystal. Source: Alexandria via LeMat-Bulk, functional PBE.

Cell and atoms, written as POSCAR:
```
LaPrNdHo
1.0
5.837 0.000 0.000
2.918 5.055 0.000
2.918 1.685 4.766
Pr Nd Ho La
1 1 1 1
Direct
0.750 0.750 0.750 Pr
0.500 0.500 0.500 Nd
0.000 0.000 0.000 Ho
0.250 0.250 0.250 La
```

Computed properties:
Space group ... F-43m (216)

(4)
A relaxed LaPrNd2Ho crystal. Source: Alexandria via LeMat-Bulk, functional PBE.

Cell and atoms, written as POSCAR:
```
LaPrNd2Ho
1.0
6.511 0.000 0.000
0.000 9.172 0.117
0.000 -2.254 6.120
La Pr Nd Ho
2 2 4 2
Direct
0.000 0.000 0.000 La
0.000 0.000 0.500 La
0.162 0.500 0.750 Pr
0.838 0.500 0.250 Pr
0.677 0.684 0.840 Nd
0.677 0.316 0.660 Nd
0.323 0.684 0.340 Nd
0.323 0.316 0.160 Nd
0.507 0.000 0.250 Ho
0.493 0.000 0.750 Ho
```

Computed properties:
Space group ... P2/c (13)

(5)
A relaxed La2PrNdHo2 crystal. Source: Alexandria via LeMat-Bulk, functional PBE.

Cell and atoms, written as POSCAR:
```
La2PrNdHo2
1.0
-4.378 -0.788 3.533
-2.160 -5.425 -3.886
5.840 -6.475 5.793
La Pr Nd Ho
4 2 2 4
Direct
0.500 0.060 0.023 La
0.000 0.329 0.196 La
0.500 0.560 0.977 La
0.000 0.829 0.804 La
0.500 0.189 0.692 Pr
0.500 0.689 0.308 Pr
0.000 0.952 0.474 Nd
0.000 0.452 0.526 Nd
0.000 0.317 0.868 Ho
0.500 0.199 0.370 Ho
0.000 0.817 0.132 Ho
0.500 0.699 0.630 Ho
```

Computed properties:
Space group ... Pmc2_1 (26)

(6)
A relaxed LaPr2Nd2Ho2 crystal. Source: Alexandria via LeMat-Bulk, functional PBE.

Cell and atoms, written as POSCAR:
```
LaPr2Nd2Ho2
1.0
5.165 0.000 0.000
-2.583 5.772 0.290
0.000 -1.537 8.054
La Pr Nd Ho
1 2 2 2
Direct
0.000 0.000 0.000 La
0.714 0.428 0.145 Pr
0.286 0.572 0.855 Pr
0.142 0.283 0.430 Nd
0.858 0.717 0.570 Nd
0.572 0.144 0.710 Ho
0.428 0.856 0.290 Ho
```

Computed properties:
Space group ... C2/m (12)

(7)
A relaxed LaPr2NdHo4 crystal. Source: Alexandria via LeMat-Bulk, functional PBE.

Cell and atoms, written as POSCAR:
```
LaPr2NdHo4
1.0
9.417 -0.006 -1.824
-0.012 9.414 -1.822
-5.979 -5.980 8.479
La Pr Nd Ho
2 4 2 8
Direct
0.500 0.500 0.500 La
0.000 0.000 0.000 La
0.500 0.000 0.000 Pr
0.500 0.000 0.500 Pr
0.000 0.000 0.500 Pr
0.500 0.500 0.000 Pr
0.000 0.500 0.000 Nd
0.000 0.500 0.500 Nd
0.249 0.750 0.000 Ho
0.750 0.251 0.500 Ho
0.250 0.749 0.500 Ho
0.751 0.250 0.000 Ho
0.750 0.749 0.999 Ho
0.751 0.750 0.501 Ho
0.249 0.250 0.499 Ho
0.250 0.251 0.001 Ho
```

Computed properties:
Space group ... Imma (74)

(8)
A relaxed LaPr4Nd2Ho crystal. Source: Alexandria via LeMat-Bulk, functional PBE.

Cell and atoms, written as POSCAR:
```
LaPr4Nd2Ho
1.0
-0.145 3.698 0.066
-9.209 -0.506 8.067
3.271 0.031 5.456
La Pr Nd Ho
1 4 2 1
Direct
0.500 0.500 0.000 La
0.000 0.750 0.748 Pr
0.000 0.250 0.252 Pr
0.500 0.748 0.250 Pr
0.500 0.252 0.750 Pr
0.000 0.000 0.000 Nd
0.500 0.000 0.500 Nd
0.000 0.500 0.500 Ho
```

Computed properties:
Space group ... P2/m (10)

(9)
A relaxed La5Pr2NdHo crystal. Source: Alexandria via LeMat-Bulk, functional PBE.

Cell and atoms, written as POSCAR:
```
La5Pr2NdHo
1.0
-1.357 -2.500 8.638
-2.493 -8.289 -2.791
9.428 2.976 -2.444
La Pr Nd Ho
10 4 2 2
Direct
0.930 0.430 0.281 La
0.649 0.149 0.719 La
0.070 0.570 0.719 La
0.149 0.070 0.719 La
0.570 0.649 0.719 La
0.851 0.930 0.281 La
0.430 0.351 0.281 La
0.351 0.851 0.281 La
0.500 0.500 0.000 La
0.000 0.000 0.000 La
0.117 0.383 0.000 Pr
0.617 0.117 0.000 Pr
0.383 0.883 0.000 Pr
0.883 0.617 0.000 Pr
0.250 0.250 0.500 Nd
0.750 0.750 0.500 Nd
0.250 0.750 0.500 Ho
0.750 0.250 0.500 Ho
```

Computed properties:
Space group ... I4/mcm (140)

(10)
A relaxed La2Pr4Nd2Ho crystal. Source: Alexandria via LeMat-Bulk, functional PBE.

Cell and atoms, written as POSCAR:
```
La2Pr4Nd2Ho
1.0
3.726 0.000 0.000
-1.863 9.646 -0.471
0.000 -3.831 9.144
La Pr Nd Ho
2 4 2 1
Direct
0.335 0.670 0.001 La
0.665 0.330 0.999 La
0.815 0.630 0.668 Pr
0.185 0.370 0.332 Pr
0.518 0.036 0.330 Pr
0.482 0.964 0.670 Pr
0.852 0.704 0.332 Nd
0.148 0.296 0.668 Nd
0.000 0.000 0.000 Ho
```

Computed properties:
Space group ... C2/m (12)

(11)
A relaxed La6PrNdHo2 crystal. Source: Alexandria via LeMat-Bulk, functional PBE.

Cell and atoms, written as POSCAR:
```
La6PrNdHo2
1.0
-0.720 -5.756 6.864
-5.078 -3.703 -3.638
6.574 -0.533 -1.387
La Pr Nd Ho
6 1 1 2
Direct
0.439 0.641 0.281 La
0.198 0.044 0.644 La
0.802 0.400 0.356 La
0.198 0.600 0.644 La
0.802 0.956 0.356 La
0.561 0.359 0.719 La
0.000 0.500 0.000 Pr
0.500 0.000 0.000 Nd
0.159 0.093 0.185 Ho
0.841 0.907 0.815 Ho
```

Computed properties:
Space group ... C2/m (12)

(12)
A relaxed La4PrNdHo2 crystal. Source: Alexandria via LeMat-Bulk, functional PBE.

Cell and atoms, written as POSCAR:
```
La4PrNdHo2
1.0
-2.351 0.022 2.842
9.203 -1.694 7.626
1.564 6.064 1.248
La Pr Nd Ho
4 1 1 2
Direct
0.000 0.755 0.749 La
0.000 0.245 0.251 La
0.500 0.755 0.250 La
0.500 0.245 0.750 La
0.500 0.500 0.000 Pr
0.000 0.500 0.500 Nd
0.000 0.000 0.000 Ho
0.500 0.000 0.500 Ho
```

Computed properties:
Space group ... P2/m (10)

no.,E_tot (eV for the cell shown),energy of formation (kJ/mol of formula units),ρ (g cm⁻³)
1,-81.68,213.5,6.8
2,-93.17,105.0,6.8
3,-18.59,44.8,7.0
4,-45.10,122.5,6.6
5,-56.28,40.4,7.1
6,-33.04,13.3,7.1
7,-68.92,299.6,7.4
8,-38.03,12.2,6.8
9,-82.46,223.0,6.5
10,-42.97,10.9,6.7
11,-46.43,177.2,6.7
12,-38.30,10.7,6.9